# GGA-PBE P2OsCl, relaxed
data_P2OsCl
_chemical_formula_sum 'P4 Os2 Cl2'
_cell_length_a 2.8633
_cell_length_b 4.8512
_cell_length_c 10.4179
_cell_angle_alpha 90.00
_cell_angle_beta 90.00
_cell_angle_gamma 90.00
_space_group_name_H-M_alt 'C m m m'
_space_group_IT_number 65
_space_group_name_Hall '-C 2 2'
loop_
_atom_site_label
_atom_site_fract_x
_atom_site_fract_y
_atom_site_fract_z
P1 0.0000 0.0000 0.1880
Os1 0.0000 0.5000 0.0000
Cl1 0.0000 0.5000 0.5000
# Polymorph energy (0 for the lowest one) in eV per formula unit: 2.001
# Calculated volume in Å³/f.u.: 72.4

# GGA-PBE POsCl4, relaxed
data_POsCl4
_chemical_formula_sum 'P4 Os4 Cl16'
_cell_length_a 7.9877
_cell_length_b 7.9877
_cell_length_c 7.9877
_cell_angle_alpha 90.00
_cell_angle_beta 90.00
_cell_angle_gamma 90.00
_space_group_name_H-M_alt 'F -4 3 m'
_space_group_IT_number 216
_space_group_name_Hall 'F -4 2 3'
loop_
_atom_site_label
_atom_site_fract_x
_atom_site_fract_y
_atom_site_fract_z
P1 0.0000 0.0000 0.0000
Os1 0.2500 0.2500 0.2500
Cl1 0.1242 0.1242 0.6242
# Uncorrected energy in eV per atom: -2.24
# Calculated volume in Å³/f.u.: 127.4

# GGA-PBE P2OsCl, relaxed
data_P2OsCl
_chemical_formula_sum 'P2 Os1 Cl1'
_cell_length_a 2.9759
_cell_length_b 4.2844
_cell_length_c 4.5316
_cell_angle_alpha 90.00
_cell_angle_beta 90.00
_cell_angle_gamma 90.00
_space_group_name_H-M_alt 'P m m m'
_space_group_IT_number 47
loop_
_space_group_symop_operation_xyz
'x,y,z'
'-x,-y,-z'
'-x,-y,z'
'x,y,-z'
'x,-y,-z'
'-x,y,z'
'-x,y,-z'
'x,-y,z'
loop_
_atom_site_label
_atom_site_fract_x
_atom_site_fract_y
_atom_site_fract_z
P1 0.0000 0.0000 0.0000
P2 0.5000 0.5000 0.0000
Os1 0.0000 0.5000 0.5000
Cl1 0.5000 0.0000 0.5000
# Polymorph energy (0 for the lowest one) in eV per formula unit: 4.041
# Calculated volume in Å³/f.u.: 57.8

# GGA-PBE POsCl, relaxed
data_POsCl
_chemical_formula_sum 'P4 Os4 Cl4'
_cell_length_a 2.9438
_cell_length_b 5.2417
_cell_length_c 15.6675
_cell_angle_alpha 90.00
_cell_angle_beta 90.00
_cell_angle_gamma 90.00
_space_group_name_H-M_alt 'F m m 2'
_space_group_IT_number 42
_space_group_name_Hall 'F 2 -2'
loop_
_atom_site_label
_atom_site_fract_x
_atom_site_fract_y
_atom_site_fract_z
P1 0.0000 0.0000 0.0000
Os1 0.0000 0.0000 0.3894
Cl1 0.0000 0.0000 0.7530
# Polymorph energy (0 for the lowest one) in eV per formula unit: 1.478
# Calculated volume in Å³/f.u.: 60.4

Repeat the third record exactly.
# GGA-PBE P2OsCl, relaxed
data_P2OsCl
_chemical_formula_sum 'P2 Os1 Cl1'
_cell_length_a 2.9759
_cell_length_b 4.2844
_cell_length_c 4.5316
_cell_angle_alpha 90.00
_cell_angle_beta 90.00
_cell_angle_gamma 90.00
_space_group_name_H-M_alt 'P m m m'
_space_group_IT_number 47
loop_
_space_group_symop_operation_xyz
'x,y,z'
'-x,-y,-z'
'-x,-y,z'
'x,y,-z'
'x,-y,-z'
'-x,y,z'
'-x,y,-z'
'x,-y,z'
loop_
_atom_site_label
_atom_site_fract_x
_atom_site_fract_y
_atom_site_fract_z
P1 0.0000 0.0000 0.0000
P2 0.5000 0.5000 0.0000
Os1 0.0000 0.5000 0.5000
Cl1 0.5000 0.0000 0.5000
# Polymorph energy (0 for the lowest one) in eV per formula unit: 4.041
# Calculated volume in Å³/f.u.: 57.8